[1]
# Pm2Ni4P3Ru (PBE, optimized geometry)
data_Pm2Ni4P3Ru
_cell_length_a 3.9237
_cell_length_b 3.9237
_cell_length_c 9.8253
_cell_angle_alpha 90.00
_cell_angle_beta 90.00
_cell_angle_gamma 90.00
_space_group_name_H-M_alt 'P 1'
_space_group_IT_number 1
_space_group_name_Hall 'P 1'
loop_
_atom_site_label
_atom_site_type_symbol
_atom_site_fract_x
_atom_site_fract_y
_atom_site_fract_z
Ni1 Ni 0.5000 0.0000 0.6454
Ni2 Ni 0.0000 0.0000 0.0000
Ni3 Ni 0.5000 0.5000 0.0000
Ni4 Ni 0.0000 0.5000 0.3546
Pm1 Pm 0.5000 0.0000 0.2449
Pm2 Pm 0.0000 0.5000 0.7551
P1 P 0.0000 0.5000 0.1249
P2 P 0.5000 0.0000 0.8751
P3 P 0.0000 0.0000 0.5000
Ru1 Ru 0.5000 0.5000 0.5000
# DOS at the Fermi energy = 10.51 states/eV per cell
# Formation energy from the elements = -753 meV per atom

---

[2]
# Na2TlCd (PBE, optimized geometry)
data_Na2TlCd
_cell_length_a 5.8768
_cell_length_b 6.3005
_cell_length_c 6.3005
_cell_angle_alpha 101.97
_cell_angle_beta 90.00
_cell_angle_gamma 90.00
_space_group_name_H-M_alt 'P 1'
_space_group_IT_number 1
_space_group_name_Hall 'P 1'
loop_
_atom_site_label
_atom_site_type_symbol
_atom_site_fract_x
_atom_site_fract_y
_atom_site_fract_z
Cd1 Cd 0.0000 0.5000 0.5000
Cd2 Cd 0.5000 0.5000 0.5000
Na1 Na 0.2500 0.0197 0.6395
Na2 Na 0.2500 0.6395 0.0197
Na3 Na 0.7500 0.9803 0.3605
Na4 Na 0.7500 0.3605 0.9803
Tl1 Tl 0.7500 0.8473 0.8473
Tl2 Tl 0.2500 0.1527 0.1527
# DOS at the Fermi energy = 2.65 states/eV per cell
# Formation energy from the elements = -96 meV per atom

---

[3]
# Pm3SmTl4Se8 (PBE, optimized geometry)
data_Pm3SmTl4Se8
_cell_length_a 8.5770
_cell_length_b 9.2063
_cell_length_c 8.5777
_cell_angle_alpha 117.77
_cell_angle_beta 120.00
_cell_angle_gamma 90.00
_space_group_name_H-M_alt 'P 1'
_space_group_IT_number 1
_space_group_name_Hall 'P 1'
loop_
_atom_site_label
_atom_site_type_symbol
_atom_site_fract_x
_atom_site_fract_y
_atom_site_fract_z
Tl1 Tl 0.5000 0.0000 0.0000
Tl2 Tl 0.0000 0.0000 0.0000
Tl3 Tl 0.5000 0.0000 0.5000
Tl4 Tl 0.0000 0.0000 0.5000
Se1 Se 0.7642 0.2908 0.5284
Se2 Se 0.7641 0.2908 0.0266
Se3 Se 0.2359 0.7092 0.9734
Se4 Se 0.2634 0.2903 0.5268
Se5 Se 0.7366 0.7097 0.4732
Se6 Se 0.2625 0.2908 0.0266
Se7 Se 0.2358 0.7092 0.4716
Se8 Se 0.7375 0.7092 0.9734
Pm1 Pm 0.5000 0.5000 0.0000
Pm2 Pm 0.0000 0.5000 0.5000
Pm3 Pm 0.5000 0.5000 0.5000
Sm1 Sm 0.0000 0.5000 0.0000
# Formation energy from raw total energies = -1384.5 meV/atom

---

[4]
# SrTcCl2 (PBE, optimized geometry)
data_SrTcCl2
_cell_length_a 6.6881
_cell_length_b 6.6881
_cell_length_c 6.6881
_cell_angle_alpha 144.72
_cell_angle_beta 144.72
_cell_angle_gamma 50.76
_space_group_name_H-M_alt 'P 1'
_space_group_IT_number 1
_space_group_name_Hall 'P 1'
loop_
_atom_site_label
_atom_site_type_symbol
_atom_site_fract_x
_atom_site_fract_y
_atom_site_fract_z
Sr1 Sr 0.5000 0.5000 0.0000
Tc1 Tc 0.7500 0.2500 0.5000
Cl1 Cl 0.2500 0.7500 0.5000
Cl2 Cl 0.0000 0.0000 0.0000
# DOS at the Fermi energy = 2.52 states/eV per cell
# Relative energy among the computed polymorphs = 257.4 meV/atom
# Formation energy from raw total energies = -278.1 meV/atom